Computed, not measured: a PBEsol-optimized structure of Pb3O4 at the meta-GGA SCAN level of DFT.

a = 6.7622 Å, b = 9.9311 Å, c = 3.4450 Å
α = 90.00°, β = 90.00°, γ = 90.00°
With the nearest neighbours (Å) after each atom.
Fractional positions:
Pb  0.0000  0.0000  0.0000  6 O 2.17-2.24
Pb  0.0163  0.3108  0.5000  4 O 2.36-2.57
Pb  0.4837  0.8108  0.5000  4 O 2.36-2.57
Pb  0.5000  0.5000  0.0000  6 O 2.17-2.24
Pb  0.5163  0.1892  0.5000  4 O 2.36-2.57
Pb  0.9837  0.6892  0.5000  4 O 2.36-2.57
O  0.1483  0.8064  0.0000  3 Pb 2.17-2.36
O  0.1657  0.0890  0.5000  3 Pb 2.24-2.42
O  0.3343  0.5890  0.5000  3 Pb 2.24-2.42
O  0.3517  0.3064  0.0000  3 Pb 2.17-2.36
O  0.6483  0.6936  0.0000  3 Pb 2.17-2.36
O  0.6657  0.4110  0.5000  3 Pb 2.24-2.42
O  0.8343  0.9110  0.5000  3 Pb 2.24-2.42
O  0.8517  0.1936  0.0000  3 Pb 2.17-2.36

The density comes out at 9.84 Mg/m³. The calculation puts the magnetic moment at 0.00 μB/cell. Its relative energy among the computed polymorphs is 24.7 meV per atom.

***

Computed, not measured: a PBEsol-optimized structure of PbO at the meta-GGA SCAN level of DFT.

a = 5.9116 Å, b = 5.5275 Å, c = 4.7106 Å
α = 90.00°, β = 90.00°, γ = 90.00°
With the nearest neighbours (Å) after each atom.
Fractional positions:
Pb  0.2305  0.0109  0.2500  4 O 2.24-2.46
Pb  0.2305  0.4891  0.7500  4 O 2.24-2.46
Pb  0.7695  0.5109  0.2500  4 O 2.24-2.46
Pb  0.7695  0.9891  0.7500  4 O 2.24-2.46
O  0.1360  0.0919  0.7500  4 Pb 2.24-2.46
O  0.1360  0.4081  0.2500  4 Pb 2.24-2.46
O  0.8640  0.5919  0.7500  4 Pb 2.24-2.46
O  0.8640  0.9081  0.2500  4 Pb 2.24-2.46

The density comes out at 9.63 Mg/m³. The calculation puts the magnetic moment at 0.00 μB/cell. Its raw total energy is -337.13 eV per cell.

***

Computed, not measured: a PBEsol-optimized structure of PbO at the meta-GGA SCAN level of DFT.

a = 3.9875 Å, b = 3.9875 Å, c = 5.0489 Å
α = 90.00°, β = 90.00°, γ = 90.00°
With the nearest neighbours (Å) after each atom.
Fractional positions:
Pb  0.2500  0.2500  0.2350  4 O 2.32
Pb  0.7500  0.7500  0.7650  4 O 2.32
O  0.2500  0.7500  0.0000  4 Pb 2.32
O  0.7500  0.2500  0.0000  4 Pb 2.32

The density comes out at 9.23 Mg/m³. The calculation puts the magnetic moment at 0.00 μB/cell. Its raw total energy is -168.61 eV per cell.

***

Computed, not measured: a PBEsol-optimized structure of Pd2PbO4 at the meta-GGA SCAN level of DFT.

a = 6.4859 Å, b = 6.4859 Å, c = 6.4859 Å
α = 126.59°, β = 126.59°, γ = 78.91°
With the nearest neighbours (Å) after each atom.
Fractional positions:
Pd  0.0000  0.0000  0.0000  4 O 1.98-1.99
Pd  0.5000  0.0000  0.0000  4 O 1.98-1.99
Pd  0.5000  0.0000  0.5000  4 O 1.98-1.99
Pd  0.5000  0.5000  0.5000  4 O 1.98-1.99
Pb  0.1250  0.3750  0.7500  8 O 2.35-2.51
Pb  0.8750  0.6250  0.2500  8 O 2.35-2.51
O  0.1232  0.3326  0.1091  2 Pd 1.98-1.99
O  0.1674  0.7765  0.7907  2 Pd 1.98-1.99
O  0.2765  0.9859  0.6091  2 Pd 1.98-1.99
O  0.4859  0.3768  0.7093  2 Pd 1.98-1.99
O  0.5141  0.6232  0.2907  2 Pd 1.98-1.99
O  0.7235  0.0141  0.3909  2 Pd 1.98-1.99
O  0.8326  0.2235  0.2093  2 Pd 1.98-1.99
O  0.8768  0.6674  0.8909  2 Pd 1.98-1.99

The density comes out at 9.45 Mg/m³. The calculation puts the magnetic moment at 0.00 μB/cell. Its raw total energy is -343.71 eV per cell.

***

Computed, not measured: a PBEsol-optimized structure of Rb2PdPbO at the meta-GGA SCAN level of DFT.

a = 6.7832 Å, b = 6.7832 Å, c = 4.3488 Å
α = 90.00°, β = 90.00°, γ = 90.00°
With the nearest neighbours (Å) after each atom.
Fractional positions:
Rb  0.0000  0.5000  0.0000  2 Pb 3.39
Rb  0.5000  0.0000  0.0000  2 Pb 3.39
Pd  0.0000  0.0000  0.5000  8 Rb 4.03, 2 Pd 4.35
Pb  0.5000  0.5000  0.0000  2 O 2.17
O  0.5000  0.5000  0.5000  2 Pb 2.17

The density comes out at 4.15 Mg/m³. The calculation puts the magnetic moment at 0.00 μB/cell. Its raw total energy is -154.96 eV per cell.

***

Computed, not measured: a PBEsol-optimized structure of PtPb3O at the meta-GGA SCAN level of DFT.

a = 4.8144 Å, b = 4.8144 Å, c = 4.8144 Å
α = 90.00°, β = 90.00°, γ = 90.00°
With the nearest neighbours (Å) after each atom.
Fractional positions:
Pt  0.0000  0.0000  0.0000  12 Pb 3.40
Pb  0.0000  0.5000  0.5000  2 O 2.41
Pb  0.5000  0.0000  0.5000  2 O 2.41
Pb  0.5000  0.5000  0.0000  2 O 2.41
O  0.5000  0.5000  0.5000  6 Pb 2.41

The density comes out at 12.39 Mg/m³. The calculation puts the magnetic moment at 0.00 μB/cell. Its raw total energy is -304.00 eV per cell.

***

Computed, not measured: a PBEsol-optimized structure of PtPb2O4 at the meta-GGA SCAN level of DFT.

a = 7.0420 Å, b = 9.4485 Å, c = 6.4153 Å
α = 90.00°, β = 90.00°, γ = 90.00°
With the nearest neighbours (Å) after each atom.
Fractional positions:
Pt  0.0000  0.0000  0.2484  6 O 2.01-2.04
Pt  0.0000  0.0000  0.7516  6 O 2.01-2.04
Pt  0.5000  0.5000  0.2484  6 O 2.01-2.04
Pt  0.5000  0.5000  0.7516  6 O 2.01-2.04
Pb  0.0484  0.3207  0.5000  3 O 2.24-2.40
Pb  0.1096  0.6719  0.0000  3 O 2.29-2.36
Pb  0.3904  0.1719  0.0000  3 O 2.29-2.36
Pb  0.4516  0.8207  0.5000  3 O 2.24-2.40
Pb  0.5484  0.1793  0.5000  3 O 2.24-2.40
Pb  0.6096  0.8281  0.0000  3 O 2.29-2.36
Pb  0.8904  0.3281  0.0000  3 O 2.29-2.36
Pb  0.9516  0.6793  0.5000  3 O 2.24-2.40
O  0.1328  0.9119  0.5000  2 Pt 2.04
O  0.1455  0.9206  0.0000  2 Pt 2.04
O  0.1554  0.1789  0.2465  1 Pt 2.01, 1 Pb 2.24
O  0.1554  0.1789  0.7535  1 Pt 2.01, 1 Pb 2.24
O  0.3446  0.6789  0.2465  1 Pt 2.01, 1 Pb 2.24
O  0.3446  0.6789  0.7535  1 Pt 2.01, 1 Pb 2.24
O  0.3545  0.4206  0.0000  2 Pt 2.04
O  0.3672  0.4119  0.5000  2 Pt 2.04
O  0.6328  0.5881  0.5000  2 Pt 2.04
O  0.6455  0.5794  0.0000  2 Pt 2.04
O  0.6554  0.3211  0.2465  1 Pt 2.01, 1 Pb 2.24
O  0.6554  0.3211  0.7535  1 Pt 2.01, 1 Pb 2.24
O  0.8446  0.8211  0.2465  1 Pt 2.01, 1 Pb 2.24
O  0.8446  0.8211  0.7535  1 Pt 2.01, 1 Pb 2.24
O  0.8545  0.0794  0.0000  2 Pt 2.04
O  0.8672  0.0881  0.5000  2 Pt 2.04

The density comes out at 10.48 Mg/m³. The calculation puts the magnetic moment at 0.00 μB/cell. Its raw total energy is -1014.48 eV per cell.

***

Computed, not measured: a PBEsol-optimized structure of ZnPtPbO2 at the meta-GGA SCAN level of DFT.

a = 3.9532 Å, b = 3.9532 Å, c = 5.0350 Å
α = 90.00°, β = 90.00°, γ = 90.00°
With the nearest neighbours (Å) after each atom.
Fractional positions:
Zn  0.0000  0.0000  0.0000  2 Pt 2.52, 4 Pb 2.80
Pt  0.0000  0.0000  0.5000  4 O 1.98
Pb  0.5000  0.5000  0.0000  4 Zn 2.80
O  0.0000  0.5000  0.5000  2 Pt 1.98
O  0.5000  0.0000  0.5000  2 Pt 1.98

The density comes out at 10.55 Mg/m³. The calculation puts the magnetic moment at 0.66 μB/cell. Its raw total energy is -172.43 eV per cell.

***

Computed, not measured: a PBEsol-optimized structure of Rb2PbO3 at the meta-GGA SCAN level of DFT.

a = 6.0638 Å, b = 10.9060 Å, c = 7.2937 Å
α = 90.00°, β = 90.00°, γ = 90.00°
With the nearest neighbours (Å) after each atom.
Fractional positions:
Rb  0.2337  0.0861  0.1077  5 O 2.77-2.98
Rb  0.2337  0.4139  0.1077  5 O 2.77-2.98
Rb  0.2663  0.5861  0.6077  5 O 2.77-2.98
Rb  0.2663  0.9139  0.6077  5 O 2.77-2.98
Rb  0.7337  0.0861  0.3923  5 O 2.77-2.98
Rb  0.7337  0.4139  0.3923  5 O 2.77-2.98
Rb  0.7663  0.5861  0.8923  5 O 2.77-2.98
Rb  0.7663  0.9139  0.8923  5 O 2.77-2.98
Pb  0.2312  0.7500  0.1560  5 O 2.04-2.21
Pb  0.2688  0.2500  0.6560  5 O 2.04-2.21
Pb  0.7312  0.7500  0.3440  5 O 2.04-2.21
Pb  0.7688  0.2500  0.8440  5 O 2.04-2.21
O  0.0088  0.1194  0.7267  2 Pb 2.19-2.21
O  0.0088  0.3806  0.7267  2 Pb 2.19-2.21
O  0.1547  0.7500  0.8834  1 Pb 2.04
O  0.3453  0.2500  0.3834  1 Pb 2.04
O  0.4912  0.6194  0.2267  2 Pb 2.19-2.21
O  0.4912  0.8806  0.2267  2 Pb 2.19-2.21
O  0.5088  0.1194  0.7733  2 Pb 2.19-2.21
O  0.5088  0.3806  0.7733  2 Pb 2.19-2.21
O  0.6547  0.7500  0.6166  1 Pb 2.04
O  0.8453  0.2500  0.1166  1 Pb 2.04
O  0.9912  0.6194  0.2733  2 Pb 2.19-2.21
O  0.9912  0.8806  0.2733  2 Pb 2.19-2.21

The density comes out at 5.87 Mg/m³. The calculation puts the magnetic moment at 0.31 μB/cell. Its raw total energy is -575.52 eV per cell.